Entry 1:
Entry from the Alexandria database: NbSnSCl2 at its PBEsol-relaxed geometry (SCAN).

Calculated values
- density of states at the Fermi level (states/eV per cell) = 3.0
- calculated volume (A^3/atom) = 22.577
- formation energy without anion corrections (meV/atom) = -464
- calculated density (Mg/m³) = 4.628

Lattice parameters (Å, degrees): 4.778 4.861 4.861 90.00 90.00 90.00
Positions (direct):
1 S 0.500 0.000 0.000
2 Nb 0.000 0.000 0.000
3 Sn 0.500 0.500 0.500
4 Cl 0.000 0.000 0.500
5 Cl 0.000 0.500 0.000

Entry 2:
Entry from the Alexandria database: SrAlCd at its PBEsol-relaxed geometry (SCAN).

Calculated values
- density of states at the Fermi level (states/eV per cell) = 1.3
- calculated volume (A^3/atom) = 26.319
- calculated density (Mg/m³) = 4.774
- formation energy (eV/atom) = -0.31

Lattice parameters (Å, degrees): 3.865 4.857 4.857 120.00 90.00 90.00
Positions (direct):
1 Sr 0.500 0.667 0.333
2 Al 0.000 0.000 0.000
3 Cd 0.000 0.333 0.667

Entry 3:
Entry from the Alexandria database: Ta2Ir at its PBEsol-relaxed geometry (SCAN).

Calculated values
- density of states at the Fermi level (states/eV per cell) = 4.2
- calculated volume (A^3/atom) = 16.263
- calculated density (Mg/m³) = 18.860
- formation energy (eV/atom) = 0.09

Lattice parameters (Å, degrees): 2.741 4.533 4.533 120.00 90.00 90.00
Positions (direct):
1 Ir 0.500 0.000 0.000
2 Ta 0.000 0.333 0.667
3 Ta 0.000 0.667 0.333

Entry 4:
Entry from the Alexandria database: TaCo4Se at its PBEsol-relaxed geometry (SCAN).

Calculated values
- density of states at the Fermi level (states/eV per cell) = 2.4
- calculated volume (A^3/atom) = 12.103
- formation energy without anion corrections (meV/atom) = 266
- calculated density (Mg/m³) = 11.334

Lattice parameters (Å, degrees): 4.683 4.683 4.683 60.00 60.00 60.00
Positions (direct):
1 Co 0.374 0.374 0.374
2 Co 0.374 0.374 0.877
3 Co 0.877 0.374 0.374
4 Co 0.374 0.877 0.374
5 Se 0.750 0.750 0.750
6 Ta 0.000 0.000 0.000

Entry 5:
Entry from the Alexandria database: ZnIn3 at its PBEsol-relaxed geometry (SCAN).

Calculated values
- density of states at the Fermi level (states/eV per cell) = 1.6
- calculated volume (A^3/atom) = 22.532
- calculated density (Mg/m³) = 7.551
- formation energy (eV/atom) = 0.12

Lattice parameters (Å, degrees): 3.227 3.227 8.677 90.00 90.00 94.07
Positions (direct):
1 Zn 0.500 0.500 0.500
2 In 0.000 0.000 0.282
3 In 0.500 0.500 0.000
4 In 0.000 0.000 0.718

Entry 6:
Entry from the Alexandria database: AlTeSe2Br at its PBEsol-relaxed geometry (SCAN).

Calculated values
- density of states at the Fermi level (states/eV per cell) = 1.9
- calculated volume (A^3/atom) = 23.357
- formation energy without anion corrections (meV/atom) = -51
- calculated density (Mg/m³) = 5.579

Lattice parameters (Å, degrees): 4.750 4.958 4.958 90.00 90.00 90.00
Positions (direct):
1 Te 0.500 0.500 0.500
2 Se 0.000 0.000 0.500
3 Se 0.000 0.500 0.000
4 Br 0.500 0.000 0.000
5 Al 0.000 0.000 0.000

Entry 7:
Entry from the Alexandria database: Co2RhW at its PBEsol-relaxed geometry (SCAN).

Calculated values
- energy above the most stable polymorph in this dataset (eV/atom) = 0.050
- density of states at the Fermi level (states/eV per cell) = 1.4
- calculated volume (A^3/atom) = 12.121
- calculated density (Mg/m³) = 13.857
- formation energy (eV/atom) = 0.03

Lattice parameters (Å, degrees): 3.580 3.680 3.680 90.00 90.00 90.00
Positions (direct):
1 Co 0.000 0.000 0.500
2 Co 0.000 0.500 0.000
3 Rh 0.500 0.500 0.500
4 W 0.500 0.000 0.000

Entry 8:
Entry from the Alexandria database: MoWF2 at its PBEsol-relaxed geometry (SCAN).

Calculated values
- density of states at the Fermi level (states/eV per cell) = 2.4
- calculated volume (A^3/atom) = 12.517
- formation energy without anion corrections (meV/atom) = -654
- calculated density (Mg/m³) = 10.539

Lattice parameters (Å, degrees): 2.666 2.666 8.278 80.73 80.73 60.00
Positions (direct):
1 Mo 0.500 0.500 0.500
2 W 0.000 0.000 0.000
3 F 0.916 0.916 0.251
4 F 0.084 0.084 0.749

Entry 9:
Entry from the Alexandria database: Zn2FeCo at its PBEsol-relaxed geometry (SCAN).

Calculated values
- energy above the most stable polymorph in this dataset (eV/atom) = 0.030
- density of states at the Fermi level (states/eV per cell) = 2.0
- calculated volume (A^3/atom) = 11.753
- calculated density (Mg/m³) = 8.675
- formation energy (eV/atom) = -0.02

Lattice parameters (Å, degrees): 2.574 4.098 4.456 90.00 89.96 90.00
Positions (direct):
1 Zn 0.875 0.000 0.964
2 Zn 0.875 0.500 0.286
3 Co 0.375 0.000 0.481
4 Fe 0.375 0.500 0.769

Entry 10:
Entry from the Alexandria database: Sc2RhC at its PBEsol-relaxed geometry (SCAN).

Calculated values
- density of states at the Fermi level (states/eV per cell) = 2.3
- calculated volume (A^3/atom) = 18.053
- calculated density (Mg/m³) = 4.710
- formation energy (eV/atom) = 0.60

Lattice parameters (Å, degrees): 3.213 3.213 8.287 78.82 78.82 60.00
Positions (direct):
1 Sc 0.912 0.912 0.265
2 Sc 0.088 0.088 0.735
3 C 0.000 0.000 0.000
4 Rh 0.500 0.500 0.500

Entry 11:
Entry from the Alexandria database: Ca3ZrAl at its PBEsol-relaxed geometry (SCAN).

Calculated values
- density of states at the Fermi level (states/eV per cell) = 3.0
- calculated volume (A^3/atom) = 36.434
- calculated density (Mg/m³) = 2.173
- formation energy (eV/atom) = 0.65

Lattice parameters (Å, degrees): 5.669 5.669 5.669 90.00 90.00 90.00
Positions (direct):
1 Ca 0.000 0.500 0.000
2 Ca 0.000 0.000 0.500
3 Ca 0.500 0.000 0.000
4 Al 0.000 0.000 0.000
5 Zr 0.500 0.500 0.500

Entry 12:
Entry from the Alexandria database: K2LiSmCl6 at its PBEsol-relaxed geometry (SCAN).

Calculated values
- density of states at the Fermi level (states/eV per cell) = 0.0
- calculated volume (A^3/atom) = 27.229
- formation energy without anion corrections (meV/atom) = -2289
- calculated density (Mg/m³) = 2.733

Lattice parameters (Å, degrees): 7.275 7.275 7.275 60.00 60.00 60.00
Positions (direct):
1 K 0.750 0.750 0.750
2 K 0.250 0.250 0.250
3 Li 0.500 0.500 0.500
4 Sm 0.000 0.000 0.000
5 Cl 0.743 0.257 0.257
6 Cl 0.743 0.743 0.257
7 Cl 0.257 0.743 0.743
8 Cl 0.743 0.257 0.743
9 Cl 0.257 0.743 0.257
10 Cl 0.257 0.257 0.743

Entry 13:
Entry from the Alexandria database: TiSn2O4 at its PBEsol-relaxed geometry (SCAN).

Calculated values
- calculated volume (A^3/atom) = 15.172
- formation energy without anion corrections (meV/atom) = -2180
- calculated density (Mg/m³) = 5.461

Lattice parameters (Å, degrees): 5.917 8.473 8.473 90.00 90.00 90.00
Positions (direct):
1 Ti 0.250 0.000 0.500
2 Ti 0.750 0.500 0.000
3 Ti 0.750 0.000 0.500
4 Ti 0.250 0.500 0.000
5 Sn 0.500 0.354 0.339
6 Sn 0.500 0.646 0.661
7 Sn 0.000 0.661 0.354
8 Sn 0.000 0.339 0.646
9 Sn 0.000 0.839 0.854
10 Sn 0.500 0.854 0.161
11 Sn 0.500 0.146 0.839
12 Sn 0.000 0.161 0.146
13 O 0.500 0.403 0.878
14 O 0.500 0.597 0.122
15 O 0.000 0.122 0.403
16 O 0.000 0.878 0.597
17 O 0.000 0.378 0.903
18 O 0.500 0.903 0.622
19 O 0.500 0.097 0.378
20 O 0.000 0.622 0.097
21 O 0.750 0.164 0.664
22 O 0.250 0.664 0.836
23 O 0.250 0.336 0.164
24 O 0.750 0.836 0.336
25 O 0.250 0.164 0.664
26 O 0.750 0.664 0.836
27 O 0.750 0.336 0.164
28 O 0.250 0.836 0.336

Entry 14:
Entry from the Alexandria database: TcRu2Se at its PBEsol-relaxed geometry (SCAN).

Calculated values
- density of states at the Fermi level (states/eV per cell) = 3.6
- calculated volume (A^3/atom) = 13.989
- formation energy without anion corrections (meV/atom) = 225
- calculated density (Mg/m³) = 11.250

Lattice parameters (Å, degrees): 2.846 2.846 6.910 90.00 90.00 90.00
Positions (direct):
1 Ru 0.000 0.000 0.754
2 Ru 0.000 0.000 0.246
3 Se 0.500 0.500 0.000
4 Tc 0.500 0.500 0.500

Entry 15:
Entry from the Alexandria database: LaIr2Se at its PBEsol-relaxed geometry (SCAN).

Calculated values
- energy above the most stable polymorph in this dataset (eV/atom) = 0.000
- density of states at the Fermi level (states/eV per cell) = 3.6
- calculated volume (A^3/atom) = 20.236
- formation energy without anion corrections (meV/atom) = -508
- calculated density (Mg/m³) = 12.356

Lattice parameters (Å, degrees): 4.041 4.041 6.182 70.92 70.92 60.00
Positions (direct):
1 Ir 0.003 0.003 0.992
2 Ir 0.731 0.731 0.806
3 La 0.492 0.492 0.523
4 Se 0.273 0.273 0.180

Entry 16:
Entry from the Alexandria database: CdW2Br at its PBEsol-relaxed geometry (SCAN).

Calculated values
- energy above the most stable polymorph in this dataset (eV/atom) = 0.000
- density of states at the Fermi level (states/eV per cell) = 3.2
- calculated volume (A^3/atom) = 17.776
- formation energy without anion corrections (meV/atom) = 1225
- calculated density (Mg/m³) = 13.078

Lattice parameters (Å, degrees): 2.843 2.966 9.605 90.00 90.00 118.64
Positions (direct):
1 Br 0.500 0.000 0.500
2 W 0.000 0.000 0.740
3 W 0.000 0.000 0.260
4 Cd 0.500 0.000 0.000

Entry 17:
Entry from the Alexandria database: ZrTaCr2 at its PBEsol-relaxed geometry (SCAN).

Calculated values
- energy above the most stable polymorph in this dataset (eV/atom) = 0.381
- density of states at the Fermi level (states/eV per cell) = 4.1
- calculated volume (A^3/atom) = 15.716
- calculated density (Mg/m³) = 9.936
- formation energy (eV/atom) = 0.47

Lattice parameters (Å, degrees): 2.946 4.254 5.383 96.24 90.00 110.26
Positions (direct):
1 Cr 0.757 0.514 0.771
2 Cr 0.243 0.486 0.229
3 Ta 0.500 0.000 0.000
4 Zr 0.000 0.000 0.500

Entry 18:
Entry from the Alexandria database: LiNiBr at its PBEsol-relaxed geometry (SCAN).

Calculated values
- energy above the most stable polymorph in this dataset (eV/atom) = 0.000
- density of states at the Fermi level (states/eV per cell) = 0.5
- calculated volume (A^3/atom) = 15.935
- formation energy without anion corrections (meV/atom) = -171
- calculated density (Mg/m³) = 5.055

Lattice parameters (Å, degrees): 3.524 3.958 3.958 120.00 90.00 90.00
Positions (direct):
1 Br 0.167 0.000 0.000
2 Li 0.667 0.333 0.667
3 Ni 0.167 0.667 0.333

Entry 19:
Entry from the Alexandria database: CuMoP2Cl at its PBEsol-relaxed geometry (SCAN).

Calculated values
- density of states at the Fermi level (states/eV per cell) = 3.0
- calculated volume (A^3/atom) = 20.285
- formation energy without anion corrections (meV/atom) = 610
- calculated density (Mg/m³) = 4.206

Lattice parameters (Å, degrees): 4.613 4.613 4.765 90.00 90.00 90.00
Positions (direct):
1 P 0.000 0.500 0.000
2 P 0.500 0.000 0.000
3 Mo 0.000 0.000 0.000
4 Cu 0.500 0.500 0.500
5 Cl 0.000 0.000 0.500

Entry 20:
Entry from the Alexandria database: KIr2W at its PBEsol-relaxed geometry (SCAN).

Calculated values
- energy above the most stable polymorph in this dataset (eV/atom) = 0.715
- density of states at the Fermi level (states/eV per cell) = 3.8
- calculated volume (A^3/atom) = 16.508
- calculated density (Mg/m³) = 15.274
- formation energy (eV/atom) = 0.96

Lattice parameters (Å, degrees): 2.722 4.999 4.999 103.90 90.00 90.00
Positions (direct):
1 Ir 0.000 0.500 0.000
2 Ir 0.000 0.000 0.500
3 K 0.500 0.000 0.000
4 W 0.500 0.500 0.500

Number 1: total DFT energy (no corrections) -19.39 eV/atom. Number 2: total DFT energy (no corrections) -20.46 eV/atom. Number 3: total DFT energy (no corrections) -68.00 eV/atom. Number 4: total DFT energy (no corrections) -25.71 eV/atom. Number 5: total DFT energy (no corrections) -28.30 eV/atom. Number 6: total DFT energy (no corrections) -20.98 eV/atom. Number 7: total DFT energy (no corrections) -34.48 eV/atom. Number 8: total DFT energy (no corrections) -28.57 eV/atom. Number 9: total DFT energy (no corrections) -15.63 eV/atom. Number 10: total DFT energy (no corrections) -17.49 eV/atom. Number 11: total DFT energy (no corrections) -12.84 eV/atom. Number 12: total DFT energy (no corrections) -13.42 eV/atom. Number 13: total DFT energy (no corrections) -18.29 eV/atom. Number 14: total DFT energy (no corrections) -30.97 eV/atom. Number 15: total DFT energy (no corrections) -51.85 eV/atom. Number 16: total DFT energy (no corrections) -46.09 eV/atom. Number 17: total DFT energy (no corrections) -33.04 eV/atom. Number 18: total DFT energy (no corrections) -12.85 eV/atom. Number 19: total DFT energy (no corrections) -15.16 eV/atom. Number 20: total DFT energy (no corrections) -54.09 eV/atom.